1.
Computed, not measured: a relaxed Sr3PrPa2As6 crystal at the GGA-PBE level of DFT.

Output
The value obtained for the formation energy is -1235 meV/atom. As for the volume: 341.87 Å³/f.u. Its space group is C2/m, No. 12. For the density of states at the Fermi level, the calculation gives 6.9 states/eV/f.u.

Unit cell a=7.4367 b=7.4367 c=7.5570 alpha=99.46 beta=99.46 gamma=119.99
Closest atoms and distances in Å follow each position.
Positions (direct):
Sr  0.0000  0.0000  0.0000  6 As 3.10-3.23
Sr  0.3368  0.6632  0.0000  6 As 3.12-3.23
Sr  0.6632  0.3368  0.0000  6 As 3.12-3.23
Pr  0.5000  0.5000  0.5000  6 As 3.03
Pa  0.1672  0.8328  0.5000  6 As 2.89
Pa  0.8328  0.1672  0.5000  6 As 2.89
As  0.0775  0.4262  0.2794  2 Pa 2.89, 1 Pr 3.03, 3 Sr 3.12-3.23
As  0.2249  0.2249  0.7202  2 Pa 2.89, 1 Pr 3.03, 3 Sr 3.10-3.20
As  0.4262  0.0775  0.2794  2 Pa 2.89, 1 Pr 3.03, 3 Sr 3.12-3.23
As  0.5738  0.9225  0.7206  2 Pa 2.89, 1 Pr 3.03, 3 Sr 3.12-3.23
As  0.7751  0.7751  0.2798  2 Pa 2.89, 1 Pr 3.03, 3 Sr 3.10-3.20
As  0.9225  0.5738  0.7206  2 Pa 2.89, 1 Pr 3.03, 3 Sr 3.12-3.23

2.
Computed, not measured: a relaxed Sr3Pr2PaAs6 crystal at the GGA-PBE level of DFT.

Output
The value obtained for the formation energy is -1240 meV/atom. As for the volume: 353.09 Å³/f.u. Its space group is C2/m, No. 12. For the density of states at the Fermi level, the calculation gives 9.9 states/eV/f.u.

Unit cell a=7.5495 b=7.5495 c=7.5912 alpha=99.58 beta=99.58 gamma=120.06
Closest atoms and distances in Å follow each position.
Positions (direct):
Sr  0.0000  0.0000  0.0000  6 As 3.15-3.29
Sr  0.3293  0.6707  0.0000  6 As 3.15-3.25
Sr  0.6707  0.3293  0.0000  6 As 3.15-3.25
Pr  0.1663  0.8337  0.5000  6 As 3.04
Pr  0.8337  0.1663  0.5000  6 As 3.04
Pa  0.5000  0.5000  0.5000  6 As 2.88
As  0.1078  0.4253  0.2753  1 Pa 2.88, 2 Pr 3.04, 2 Sr 3.15
As  0.2587  0.2587  0.7256  1 Pa 2.88, 2 Pr 3.04, 2 Sr 3.18
As  0.4253  0.1078  0.2753  1 Pa 2.88, 2 Pr 3.04, 2 Sr 3.15
As  0.5747  0.8922  0.7247  1 Pa 2.88, 2 Pr 3.04, 2 Sr 3.15
As  0.7413  0.7413  0.2744  1 Pa 2.88, 2 Pr 3.04, 2 Sr 3.18
As  0.8922  0.5747  0.7247  1 Pa 2.88, 2 Pr 3.04, 2 Sr 3.15

3.
Computed, not measured: a relaxed Pr2PaTe2As2 crystal at the GGA-PBE level of DFT.

Output
Its uncorrected formation energy is -1.01 eV/atom. As for the volume: 231.45 Å³/f.u. Its space group is I4/mmm, No. 139. For the density of states at the Fermi level, the calculation gives 4.1 states/eV/f.u.

Unit cell a=8.8223 b=8.8223 c=8.8223 alpha=144.40 beta=144.40 gamma=51.23
Closest atoms and distances in Å follow each position.
Positions (direct):
Pr  0.1135  0.1135  0.0000  1 Te 3.15, 4 As 3.25
Pr  0.8865  0.8865  0.0000  1 Te 3.15, 4 As 3.25
Pa  0.5000  0.5000  0.0000  4 As 2.70, 2 Te 3.00
Te  0.3118  0.3118  0.0000  1 Pa 3.00, 1 Pr 3.15
Te  0.6882  0.6882  0.0000  1 Pa 3.00, 1 Pr 3.15
As  0.0000  0.5000  0.5000  2 Pa 2.70
As  0.5000  0.0000  0.5000  2 Pa 2.70

4.
Computed, not measured: a relaxed PrTh2PaAs4 crystal at the GGA-PBE level of DFT.

Output
The value obtained for the formation energy is -1325 meV/atom. As for the volume: 213.55 Å³/f.u. Its space group is I-4m2, No. 119. For the density of states at the Fermi level, the calculation gives 7.4 states/eV/f.u.

Unit cell a=7.3199 b=7.3199 c=7.3199 alpha=131.80 beta=131.80 gamma=70.54
Closest atoms and distances in Å follow each position.
Positions (direct):
Pr  0.0000  0.0000  0.0000  6 As 2.99-3.00
Th  0.2500  0.7500  0.5000  6 As 2.99-3.05
Th  0.5000  0.5000  0.0000  6 As 2.97-2.99
Pa  0.7500  0.2500  0.5000  6 As 2.92-2.99
As  0.2511  0.2511  0.0000  3 Th 2.97-2.99, 2 Pa 2.99, 1 Pr 3.00
As  0.5055  0.0055  0.5000  1 Pa 2.92, 3 Th 2.99-3.05, 2 Pr 2.99
As  0.7489  0.7489  0.0000  3 Th 2.97-2.99, 2 Pa 2.99, 1 Pr 3.00
As  0.9945  0.4945  0.5000  1 Pa 2.92, 3 Th 2.99-3.05, 2 Pr 2.99

5.
Computed, not measured: a relaxed PrThPa2As4 crystal at the GGA-PBE level of DFT.

Output
The value obtained for the formation energy is -1244 meV/atom. As for the volume: 206.89 Å³/f.u. Its space group is P2/m, No. 10. For the density of states at the Fermi level, the calculation gives 7.7 states/eV/f.u.

Unit cell a=7.2400 b=4.1833 c=7.2464 alpha=90.00 beta=109.49 gamma=90.00
Closest atoms and distances in Å follow each position.
Positions (direct):
Pr  0.0000  0.0000  0.0000  6 As 3.01-3.02
Th  0.0000  0.5000  0.5000  6 As 3.01
Pa  0.5000  0.0000  0.5000  6 As 2.90
Pa  0.5000  0.5000  0.0000  6 As 2.91
As  0.2632  0.0000  0.7537  3 Pa 2.90-2.91, 2 Th 3.01, 1 Pr 3.01
As  0.2651  0.5000  0.2560  3 Pa 2.90-2.91, 1 Th 3.01, 2 Pr 3.02
As  0.7349  0.5000  0.7440  3 Pa 2.90-2.91, 1 Th 3.01, 2 Pr 3.02
As  0.7368  0.0000  0.2463  3 Pa 2.90-2.91, 2 Th 3.01, 1 Pr 3.01

6.
Computed, not measured: a relaxed Pr2ThPaAs4 crystal at the GGA-PBE level of DFT.

Output
The value obtained for the formation energy is -1370 meV/atom. As for the volume: 215.10 Å³/f.u. Its space group is P2/m, No. 10. For the density of states at the Fermi level, the calculation gives 6.1 states/eV/f.u.

Unit cell a=7.3328 b=4.2352 c=7.3440 alpha=90.00 beta=109.42 gamma=90.00
Closest atoms and distances in Å follow each position.
Positions (direct):
Pr  0.0000  0.0000  0.0000  6 As 3.07-3.08
Pr  0.5000  0.5000  0.0000  6 As 3.01-3.02
Th  0.0000  0.5000  0.5000  6 As 2.98
Pa  0.5000  0.0000  0.5000  6 As 2.91-2.92
As  0.2540  0.0000  0.7399  1 Pa 2.91, 2 Th 2.98, 3 Pr 3.02-3.08
As  0.2612  0.5000  0.2636  2 Pa 2.92, 1 Th 2.98, 3 Pr 3.01-3.07
As  0.7388  0.5000  0.7364  2 Pa 2.92, 1 Th 2.98, 3 Pr 3.01-3.07
As  0.7460  0.0000  0.2601  1 Pa 2.91, 2 Th 2.98, 3 Pr 3.02-3.08

7.
Computed, not measured: a relaxed Pr2TmPaAs4 crystal at the GGA-PBE level of DFT.

Output
The value obtained for the formation energy is -1394 meV/atom. As for the volume: 207.75 Å³/f.u. Its space group is P2/m, No. 10. For the density of states at the Fermi level, the calculation gives 5.1 states/eV/f.u.

Unit cell a=7.2107 b=4.1902 c=7.2900 alpha=90.00 beta=109.40 gamma=90.00
Closest atoms and distances in Å follow each position.
Positions (direct):
Pr  0.0000  0.0000  0.0000  6 As 3.03-3.04
Pr  0.5000  0.5000  0.0000  6 As 3.03
Tm  0.0000  0.5000  0.5000  6 As 2.90
Pa  0.5000  0.0000  0.5000  6 As 2.88-2.89
As  0.2464  0.0000  0.7324  1 Pa 2.88, 2 Tm 2.90, 3 Pr 3.03-3.04
As  0.2563  0.5000  0.2670  2 Pa 2.89, 1 Tm 2.90, 3 Pr 3.03
As  0.7437  0.5000  0.7330  2 Pa 2.89, 1 Tm 2.90, 3 Pr 3.03
As  0.7536  0.0000  0.2676  1 Pa 2.88, 2 Tm 2.90, 3 Pr 3.03-3.04

8.
Computed, not measured: a relaxed PrTmPa2As4 crystal at the GGA-PBE level of DFT.

Output
The value obtained for the formation energy is -1253 meV/atom. As for the volume: 200.03 Å³/f.u. Its space group is P2/m, No. 10. For the density of states at the Fermi level, the calculation gives 8.1 states/eV/f.u.

Unit cell a=7.1614 b=4.1340 c=7.1655 alpha=90.00 beta=109.45 gamma=90.00
Closest atoms and distances in Å follow each position.
Positions (direct):
Pr  0.0000  0.0000  0.0000  6 As 2.98
Tm  0.0000  0.5000  0.5000  6 As 2.92
Pa  0.5000  0.0000  0.5000  6 As 2.87
Pa  0.5000  0.5000  0.0000  6 As 2.93
As  0.2544  0.0000  0.7446  3 Pa 2.87-2.93, 2 Tm 2.92, 1 Pr 2.98
As  0.2598  0.5000  0.2603  3 Pa 2.87-2.93, 1 Tm 2.92, 2 Pr 2.98
As  0.7402  0.5000  0.7397  3 Pa 2.87-2.93, 1 Tm 2.92, 2 Pr 2.98
As  0.7456  0.0000  0.2554  3 Pa 2.87-2.93, 2 Tm 2.92, 1 Pr 2.98

9.
Computed, not measured: a relaxed Pr2UPaAs4 crystal at the GGA-PBE level of DFT.

Output
The value obtained for the formation energy is -1191 meV/atom. As for the volume: 209.11 Å³/f.u. Its space group is P2/m, No. 10. For the density of states at the Fermi level, the calculation gives 11.4 states/eV/f.u.

Unit cell a=7.2237 b=4.1742 c=7.3431 alpha=90.00 beta=109.20 gamma=90.00
Closest atoms and distances in Å follow each position.
Positions (direct):
Pr  0.0000  0.0000  0.0000  6 As 3.04
Pr  0.5000  0.5000  0.0000  6 As 3.03
U  0.0000  0.5000  0.5000  6 As 2.91
Pa  0.5000  0.0000  0.5000  6 As 2.90
As  0.2453  0.0000  0.7342  1 Pa 2.90, 2 U 2.91, 3 Pr 3.03-3.04
As  0.2560  0.5000  0.2659  2 Pa 2.90, 1 U 2.91, 3 Pr 3.03-3.04
As  0.7440  0.5000  0.7341  2 Pa 2.90, 1 U 2.91, 3 Pr 3.03-3.04
As  0.7547  0.0000  0.2658  1 Pa 2.90, 2 U 2.91, 3 Pr 3.03-3.04

10.
Computed, not measured: a relaxed Pr3UPa2As6 crystal at the GGA-PBE level of DFT.

Output
The value obtained for the formation energy is -1220 meV/atom. As for the volume: 312.99 Å³/f.u. Its space group is C2/m, No. 12. For the density of states at the Fermi level, the calculation gives 14.5 states/eV/f.u.

Unit cell a=9.4049 b=9.4049 c=8.4238 alpha=103.68 beta=103.68 gamma=25.66
Closest atoms and distances in Å follow each position.
Positions (direct):
Pr  0.0000  0.0000  0.0000  6 As 3.03-3.05
Pr  0.3329  0.3329  0.6672  6 As 3.02-3.04
Pr  0.6671  0.6671  0.3328  6 As 3.02-3.04
U  0.0000  0.0000  0.5000  6 As 2.90-2.91
Pa  0.3348  0.3348  0.1696  6 As 2.88-2.92
Pa  0.6652  0.6652  0.8304  6 As 2.88-2.92
As  0.1631  0.1631  0.5918  2 Pa 2.89, 1 U 2.90, 3 Pr 3.02-3.03
As  0.1710  0.1710  0.0728  3 Pa 2.90-2.92, 3 Pr 3.04-3.05
As  0.4969  0.4969  0.2586  1 Pa 2.88, 2 U 2.91, 3 Pr 3.03
As  0.5031  0.5031  0.7414  1 Pa 2.88, 2 U 2.91, 3 Pr 3.03
As  0.8290  0.8290  0.9272  3 Pa 2.90-2.92, 3 Pr 3.04-3.05
As  0.8369  0.8369  0.4082  2 Pa 2.89, 1 U 2.90, 3 Pr 3.02-3.03